A plane-wave DFT calculation with GGA+U was carried out for a relaxed structure of Mg3MnO.

Cell and atoms, written as CIF:
```
data_Mg3MnO
_chemical_formula_sum 'Mg3 Mn1 O1'
_cell_length_a 5.222
_cell_length_b 5.222
_cell_length_c 5.222
_cell_angle_alpha 90.00
_cell_angle_beta 90.00
_cell_angle_gamma 90.00
_symmetry_space_group_name_H-M 'P m -3 m'
_symmetry_Int_Tables_number 221
_symmetry_space_group_name_Hall '-P 4 2 3'
loop_
_atom_site_label
_atom_site_fract_x
_atom_site_fract_y
_atom_site_fract_z
Mg1 0.000 0.000 0.500
Mn1 0.000 0.000 0.000
O1 0.500 0.500 0.500
```

Values from the calculation:
The volume comes out at 28.5 A^3/atom. The value obtained for the magnetic moment is 4.57 μB/cell. As for the crystal system: cubic. Its polymorph energy (0 for the lowest one) is 1636.1 meV/atom. Its density of states at the Fermi level is 5.195 states/eV/cell.